PBE In2FeSnBr, relaxed; space group = P4/mmm (123); density = 6.2 Mg/m³; magnetization = 0.7 μB/cell; ΔE_f (raw) = -9 kJ per mole of atoms; calculated volume = 129 Å³ per cell
1.0
5.1304 0.0000 0.0000
0.0000 5.1304 0.0000
0.0000 0.0000 4.8975
In Br Sn Fe
2 1 1 1
Direct
0.0000 0.5000 0.0000
0.5000 0.0000 0.0000
0.5000 0.5000 0.5000
0.0000 0.0000 0.5000
0.0000 0.0000 0.0000